No. 1
Here is Mg2CoO after structural relaxation from Alexandria. Energies are from PBE with a Hubbard U.

## Properties
The density of states at the Fermi level is 4.43 states/eV per cell. As for the space group: No. 122.

a = 5.6957 Å, b = 5.6957 Å, c = 5.6957 Å
α = 117.00°, β = 117.00°, γ = 95.28°
Last column: nearest neighbours and their distance in Å.
Positions (direct):
Mg (0.0190, 0.6250, 0.8940)  2 O 1.97
Mg (0.3750, 0.2690, 0.3940)  2 O 1.97
Mg (0.7310, 0.1250, 0.1060)  2 O 1.97
Mg (0.8750, 0.9810, 0.6060)  2 O 1.97
Co (0.2500, 0.7500, 0.5000)  4 Mg 2.76
Co (0.5000, 0.5000, 0.0000)  4 Mg 2.76
O (0.0000, 0.0000, 0.0000)  4 Mg 1.97
O (0.7500, 0.2500, 0.5000)  4 Mg 1.97

---

No. 2
Here is Mg2CoO4 after structural relaxation from Alexandria. Energies are from PBE with a Hubbard U.

## Properties
As for the space group: No. 227.

a = 5.9427 Å, b = 5.9427 Å, c = 5.9427 Å
α = 60.00°, β = 60.00°, γ = 60.00°
Last column: nearest neighbours and their distance in Å.
Positions (direct):
Mg (0.0000, 0.0000, 0.0000)  6 O 2.09
Mg (0.0000, 0.0000, 0.5000)  6 O 2.09
Mg (0.0000, 0.5000, 0.0000)  6 O 2.09
Mg (0.5000, 0.0000, 0.0000)  6 O 2.09
Co (0.3750, 0.3750, 0.3750)  4 O 1.83
Co (0.6250, 0.6250, 0.6250)  4 O 1.83
O (0.2474, 0.7509, 0.7509)  1 Co 1.83
O (0.2491, 0.2491, 0.2491)  1 Co 1.83
O (0.2491, 0.2491, 0.7526)  1 Co 1.83
O (0.2491, 0.7526, 0.2491)  1 Co 1.83
O (0.7509, 0.2474, 0.7509)  1 Co 1.83
O (0.7509, 0.7509, 0.2474)  1 Co 1.83
O (0.7509, 0.7509, 0.7509)  1 Co 1.83
O (0.7526, 0.2491, 0.2491)  1 Co 1.83

---

no.,total energy (eV/atom)
1,-3.923
2,-5.816